Computed, not measured: crystalline FeNiBr2F at its relaxed geometry at the PBE with a Hubbard U level of DFT.

```
FeNiBr2F
1.0
4.5863 0.0000 0.0000
0.0000 5.0711 0.0000
0.0000 0.0000 4.5863
Ni Fe Br F
1 1 2 1
Direct
0.0000 0.0000 0.0000 Ni
0.0000 0.5000 0.0000 Fe
0.0000 0.0000 0.5000 Br
0.5000 0.0000 0.0000 Br
0.5000 0.5000 0.5000 F
```

Results
Its total energy is -12.5 eV/cell.